# 1
The following is a PBE calculation of HgBI2O after structural relaxation, from Alexandria via LeMat-Bulk.

Properties
For the energy above the most stable polymorph in this dataset, the calculation gives 1196 meV/atom. The final energy comes out at -1.909 eV per atom.

Cell lengths 5.959, 5.959, 4.105 Å; angles 90.00, 90.00, 90.00 degrees
Positions (direct):
Hg 0.000 0.000 0.000
B 0.500 0.500 0.500
I 0.000 0.500 0.000
I 0.500 0.000 0.000
O 0.000 0.000 0.500

---

# 2
The following is a PBE calculation of HgB2IO8 after structural relaxation, from Alexandria via LeMat-Bulk.

Properties
The final energy comes out at -5.496 eV per atom.

Cell lengths 4.657, 4.657, 7.622 Å; angles 97.37, 97.37, 66.07 degrees
Positions (direct):
Hg 0.000 0.000 0.000
B 0.326 0.326 0.304
B 0.674 0.674 0.696
I 0.000 0.000 0.500
O 0.201 0.684 0.316
O 0.230 0.230 0.453
O 0.249 0.249 0.121
O 0.316 0.799 0.684
O 0.684 0.201 0.316
O 0.751 0.751 0.879
O 0.770 0.770 0.547
O 0.799 0.316 0.684

---

# 3
The following is a PBE calculation of HgBI2O after structural relaxation, from Alexandria via LeMat-Bulk.

Properties
For the energy above the most stable polymorph in this dataset, the calculation gives 0 meV/atom. The final energy comes out at -3.105 eV per atom.

Cell lengths 6.840, 6.840, 2.868 Å; angles 90.00, 90.00, 90.00 degrees
Positions (direct):
Hg 0.000 0.000 0.000
B 0.500 0.500 0.500
I 0.000 0.500 0.500
I 0.500 0.000 0.500
O 0.500 0.500 0.000